The following is a DFT calculation (PBE) of a geometry-optimized SrLiSc2 structure.

Cell and atoms, written as CIF:
```
data_SrLiSc2
_symmetry_space_group_name_H-M 'F m -3 m'
_symmetry_Int_Tables_number 225
_symmetry_space_group_name_Hall '-F 4 2 3'
_cell_length_a 7.6930
_cell_length_b 7.6930
_cell_length_c 7.6930
_cell_angle_alpha 90.00
_cell_angle_beta 90.00
_cell_angle_gamma 90.00
loop_
_atom_site_label
_atom_site_fract_x
_atom_site_fract_y
_atom_site_fract_z
Sr1 0.0000 0.0000 0.0000
Li1 0.0000 0.0000 0.5000
Sc1 0.2500 0.2500 0.2500
```

---

The following is a DFT calculation (PBE) of a geometry-optimized Sr2LiSc structure.

Cell and atoms, written as CIF:
```
data_Sr2LiSc
_symmetry_space_group_name_H-M 'P m m 2'
_symmetry_Int_Tables_number 25
_cell_length_a 4.0273
_cell_length_b 6.0407
_cell_length_c 6.0408
_cell_angle_alpha 90.00
_cell_angle_beta 90.00
_cell_angle_gamma 90.00
loop_
_symmetry_equiv_pos_as_xyz
'x,y,z'
'-x,-y,z'
'-x,y,z'
'x,-y,z'
loop_
_atom_site_label
_atom_site_fract_x
_atom_site_fract_y
_atom_site_fract_z
Sr1 0.0000 0.0000 0.0000
Sr2 0.0000 0.5000 0.4983
Li1 0.5000 0.0000 0.5002
Sc1 0.5000 0.5000 0.9981
```

---

The following is a DFT calculation (PBE) of a geometry-optimized SrLi2Sc structure.

Cell and atoms, written as CIF:
```
data_SrLi2Sc
_symmetry_space_group_name_H-M 'C m m m'
_symmetry_Int_Tables_number 65
_symmetry_space_group_name_Hall '-C 2 2'
_cell_length_a 7.6784
_cell_length_b 7.6867
_cell_length_c 3.7874
_cell_angle_alpha 90.00
_cell_angle_beta 90.00
_cell_angle_gamma 90.00
loop_
_atom_site_label
_atom_site_fract_x
_atom_site_fract_y
_atom_site_fract_z
Sr1 0.0000 0.0000 0.0000
Li1 0.2500 0.2500 0.5000
Sc1 0.0000 0.5000 0.0000
```

---

The following is a DFT calculation (PBE) of a geometry-optimized Sr4LiSc structure.

Cell and atoms, written as CIF:
```
data_Sr4LiSc
_symmetry_space_group_name_H-M 'F -4 3 m'
_symmetry_Int_Tables_number 216
_symmetry_space_group_name_Hall 'F -4 2 3'
_cell_length_a 10.4655
_cell_length_b 10.4655
_cell_length_c 10.4655
_cell_angle_alpha 90.00
_cell_angle_beta 90.00
_cell_angle_gamma 90.00
loop_
_atom_site_label
_atom_site_fract_x
_atom_site_fract_y
_atom_site_fract_z
Sr1 0.1242 0.1242 0.3758
Li1 0.0000 0.0000 0.0000
Sc1 0.2500 0.2500 0.7500
```

---

For the records above, the corresponding ΔE_f values read 452 242 239 547 meV per atom.
For the records above, the corresponding uncorrected energy values read -3.61 -2.66 -2.72 -1.95 eV/atom.
For the records above, the corresponding spin magnetization values read 0.00 0.00 0.01 1.01 μB per formula unit.